[1]
8
Lattice="3.948 0.000 0.000 0.000 3.948 0.000 0.000 0.000 7.773" Properties=species:S:1:pos:R:3 comment="CuRePt6 GGA-PBE relaxed" space_group="P4/mmm, No. 123" total_energy_ev_per_atom=-6.701 pbc="T T T"
Cu 0.000 0.000 0.000
Re 0.000 0.000 3.886
Pt 1.974 1.974 0.000
Pt 1.974 1.974 3.886
Pt 1.974 0.000 1.960
Pt 1.974 0.000 5.813
Pt 0.000 1.974 1.960
Pt 0.000 1.974 5.813

[2]
4
Lattice="4.827 0.000 0.000 2.414 4.180 0.000 2.414 1.393 3.941" Properties=species:S:1:pos:R:3 comment="YHoOsRh GGA-PBE relaxed" space_group="F-43m, No. 216" total_energy_ev_per_atom=-7.878 pbc="T T T"
Y 7.241 4.180 2.956
Rh 0.000 0.000 0.000
Os 4.827 2.787 1.971
Ho 2.414 1.393 0.985

[3]
16
Lattice="-0.281 -1.581 -3.059 5.850 -0.650 1.750 -2.934 -10.739 5.820" Properties=species:S:1:pos:R:3 comment="La2DyCrN4 GGA-PBE relaxed" space_group="Cmcm, No. 63" raw_formation_energy_mev_per_atom=-988 pbc="T T T"
La 2.585 -6.856 3.306
La 1.280 -1.613 -1.235
La 0.051 -6.114 1.205
La 1.355 -11.357 5.746
Dy -0.824 -8.401 4.418
Dy 3.460 -4.569 0.093
Cr 1.508 -9.816 2.984
Cr 1.128 -3.154 1.527
N 2.741 -2.351 0.964
N 0.514 -8.355 2.320
N -0.105 -10.619 3.547
N 2.122 -4.615 2.191
N -1.467 -5.369 2.910
N 0.000 0.000 0.000
N 2.525 -9.246 4.548
N 0.111 -3.724 -0.037

[4]
4
Lattice="3.325 0.000 0.000 1.662 2.879 0.000 1.662 0.960 8.872" Properties=species:S:1:pos:R:3 comment="NdTiZn2 GGA-PBE relaxed" space_group="R-3m, No. 166" de_polymorph_mev_per_atom=267 pbc="T T T"
Zn 4.987 2.879 6.955
Zn 1.662 0.960 1.917
Nd 3.325 1.920 4.436
Ti 0.000 0.000 0.000

[5]
11
Lattice="-0.434 6.746 0.339 -6.814 0.774 5.391 3.225 -0.665 5.716" Properties=species:S:1:pos:R:3 comment="La3Y7Ho GGA-PBE relaxed" space_group="P-1, No. 2" de_polymorph_mev_per_atom=0 pbc="T T T"
La -5.089 0.940 5.644
La -0.217 3.373 0.170
La 1.066 5.915 5.801
Y -0.873 5.218 3.024
Y -4.307 5.051 8.033
Y -2.944 2.136 2.416
Y -1.079 4.718 9.029
Y -1.795 0.054 5.553
Y 0.284 1.804 3.412
Y -3.150 1.636 8.422
Ho -2.012 3.427 5.723

[6]
62
Lattice="5.426 0.000 0.000 0.000 10.556 0.000 0.000 0.000 10.556" Properties=species:S:1:pos:R:3 comment="Na4Al4H10O13 GGA-PBE relaxed" space_group="P-42_1m, No. 113" total_energy_ev_per_atom=-5.660 pbc="T T T"
Na 4.891 6.352 1.074
Na 0.951 3.218 2.060
Na 4.475 8.496 3.218
Na 0.535 1.074 4.204
Na 0.535 9.482 6.352
Na 4.475 2.060 7.338
Na 0.951 7.338 8.496
Na 4.891 4.204 9.482
Al 2.135 8.563 0.979
Al 3.291 0.979 1.993
Al 2.135 6.257 3.285
Al 3.291 3.285 4.300
Al 3.291 7.271 6.257
Al 2.135 4.300 7.271
Al 3.291 9.578 8.563
Al 2.135 1.993 9.578
H 5.381 8.931 0.110
H 2.034 5.851 0.573
H 3.684 3.258 0.923
H 0.045 0.110 1.625
H 3.684 4.355 2.020
H 1.742 9.633 3.258
H 5.381 5.388 3.653
H 1.742 8.536 4.355
H 3.393 0.573 4.705
H 0.045 3.653 5.168
H 0.045 6.903 5.388
H 3.393 9.983 5.851
H 1.742 2.020 6.201
H 5.381 5.168 6.903
H 1.742 0.923 7.298
H 3.684 6.201 8.536
H 0.045 10.446 8.931
H 3.684 7.298 9.633
H 2.034 4.705 9.983
H 5.381 1.625 10.446
O 1.444 5.278 0.000
O 2.698 1.997 0.683
O 0.326 8.619 0.962
O 4.256 4.040 1.238
O 2.614 7.033 1.755
O 2.728 9.873 1.997
O 5.101 0.962 1.937
O 0.326 6.241 3.341
O 2.698 4.595 3.281
O 2.813 1.755 3.523
O 1.170 9.318 4.040
O 5.101 3.341 4.316
O 2.728 7.275 4.595
O 3.982 0.000 5.278
O 2.728 3.281 5.962
O 5.101 7.216 6.241
O 1.170 1.238 6.516
O 2.813 8.801 7.033
O 2.698 5.962 7.275
O 0.326 4.316 7.216
O 5.101 9.594 8.619
O 2.728 0.683 8.560
O 2.614 3.523 8.801
O 4.256 6.516 9.318
O 0.326 1.937 9.594
O 2.698 8.560 9.873

[7]
10
Lattice="-4.194 -0.148 -0.039 0.054 -0.448 -4.172 0.332 -9.684 1.045" Properties=species:S:1:pos:R:3 comment="LiCe2Si4Rh3 GGA-PBE relaxed" space_group="P-4m2, No. 115" raw_formation_energy_mev_per_atom=-869 pbc="T T T"
Li -1.904 -5.140 -1.583
Ce -2.014 -2.486 0.241
Ce 0.277 -7.496 -1.302
Si -2.070 -0.298 -2.105
Si 0.000 0.000 0.000
Si -1.887 -6.186 0.640
Si 0.150 -3.796 -1.701
Rh 0.166 -4.842 0.522
Rh -1.806 -8.560 0.896
Rh 0.068 -1.422 -1.957

[8]
12
Lattice="5.284 0.000 1.654 2.383 4.716 1.654 0.004 0.002 9.256" Properties=species:S:1:pos:R:3 comment="Sr3Cu2Pt7 GGA-PBE relaxed" space_group="R-3m, No. 166" total_energy_ev_per_atom=-5.329 pbc="T T T"
Sr 0.000 0.000 0.000
Sr 6.589 4.053 6.751
Sr 1.082 0.665 5.813
Cu 5.118 3.148 11.454
Cu 2.553 1.571 1.110
Pt 3.835 2.359 6.282
Pt 5.871 1.979 4.433
Pt 4.414 4.348 4.433
Pt 3.217 1.979 3.602
Pt 1.799 2.740 8.131
Pt 4.454 2.740 8.962
Pt 3.257 0.370 8.131